Material: Sm4HoIn2
Method: DFT, PBE
State: optimized geometry

```
Sm4HoIn2
1.0
11.912 0.000 0.000
0.000 6.008 -2.924
0.000 -0.798 6.414
Ho Sm In
2 8 4
Direct
0.500 0.500 0.000 Ho
0.000 0.000 0.000 Ho
0.881 0.151 0.577 Sm
0.381 0.349 0.423 Sm
0.211 0.339 0.939 Sm
0.711 0.161 0.061 Sm
0.619 0.651 0.577 Sm
0.789 0.661 0.061 Sm
0.119 0.849 0.423 Sm
0.289 0.839 0.939 Sm
0.386 0.910 0.518 In
0.614 0.090 0.482 In
0.114 0.410 0.518 In
0.886 0.590 0.482 In
```

Calculated values
N(E_F): 1.129 states/eV per atom
Spin magnetization: 0.000 μB/atom
Symmetry: P2_1/c, No. 14
Energy relative to the elements: -0.15 eV per atom